1.
GeRhSe | PBE | optimized geometry

The space group is Imma (No. 74) and the conventional cell measures 5.8019, 7.4224 and 5.1489 Å, with angles of 90.00, 90.00 and 90.00 degrees. The inequivalent atoms are Ge at (0.0000, 0.2500, 0.1365), Rh at (0.2500, 0.2500, 0.7500) and Se at (0.0000, 0.0000, 0.5000).

The total magnetic moment comes out at 0.000 μB per atom. For the energy relative to the elements, uncorrected, the calculation gives -97 meV/atom.

---

2.
BaAlOs2 | PBE | optimized geometry

The space group is Pmmm (No. 47) and the conventional cell measures 3.1043, 4.6750 and 5.2968 Å, with angles of 90.00, 90.00 and 90.00 degrees. The inequivalent atoms are Ba at (0.0000, 0.0000, 0.0000), Al at (0.5000, 0.0000, 0.5000), Os at (0.0000, 0.5000, 0.5000) and Os at (0.5000, 0.5000, 0.0000).

The total magnetic moment comes out at 0.000 μB per atom. The formation energy from the elements is 1.23 eV/atom.

---

3.
SrReMo2 | PBE | optimized geometry

The space group is Imm2 (No. 44) and the conventional cell measures 3.1212, 5.0455 and 9.6777 Å, with angles of 90.00, 90.00 and 90.00 degrees. The inequivalent atoms are Sr at (0.0000, 0.0000, 0.0000), Re at (0.0000, 0.5000, 0.2267), Mo at (0.0000, 0.0000, 0.5206) and Mo at (0.0000, 0.5000, 0.7763).

The total magnetic moment comes out at 0.000 μB per atom. The energy above the lowest structure with this stoichiometry comes out at 291 meV per atom. The formation energy from the elements is 0.97 eV/atom.

---

4.
Zn2Tc | PBE | optimized geometry

The space group is Immm (No. 71) and the conventional cell measures 2.6572, 3.5944 and 8.9508 Å, with angles of 90.00, 90.00 and 90.00 degrees. The inequivalent atoms are Zn at (0.0000, 0.0000, 0.1711) and Tc at (0.0000, 0.0000, 0.5000).

The total magnetic moment comes out at 0.000 μB per atom. The energy above the lowest structure with this stoichiometry comes out at 141 meV per atom. The formation energy from the elements is 0.14 eV/atom.

---

5.
Pm2Ge3Au | PBE | optimized geometry

The space group is Fmmm (No. 69) and the conventional cell measures 8.4194, 8.6288 and 14.8954 Å, with angles of 90.00, 90.00 and 90.00 degrees. The inequivalent atoms are Pm at (0.2433, 0.0000, 0.0000), Pm at (0.2500, 0.2500, 0.2500), Ge at (0.0000, 0.0000, 0.1649), Ge at (0.0000, 0.2493, 0.4172) and Au at (0.0000, 0.0000, 0.3330).

The total magnetic moment comes out at 0.000 μB per atom. The formation energy from the elements is -0.73 eV/atom.

---

6.
Pm2ScIn | PBE | optimized geometry

The space group is P4/mmm (No. 123) and the conventional cell measures 3.7465, 3.7465 and 8.3671 Å, with angles of 90.00, 90.00 and 90.00 degrees. The inequivalent atoms are Pm at (0.0000, 0.0000, 0.2435), Sc at (0.5000, 0.5000, 0.5000) and In at (0.5000, 0.5000, 0.0000).

The total magnetic moment comes out at 0.117 μB per atom. The energy above the lowest structure with this stoichiometry comes out at 81 meV per atom. The formation energy from the elements is -0.18 eV/atom.